No. 1
! Pm2Ho4Sc3 GGA-PBE relaxed; values from VASP
! - ΔH_f (0 K) (eV per atom) = 0.06
! - ΔE to the lowest computed polymorph (eV per atom) = 0.000
! - calculated volume (Å³/atom) = 29.9
&SYSTEM
  ibrav = 0, nat = 9, ntyp = 3
/
ATOMIC_SPECIES
Sc 44.96 Sc.upf
Pm 145.00 Pm.upf
Ho 164.93 Ho.upf
ATOMIC_POSITIONS angstrom
Sc 3.648 7.141 2.281
Sc 10.907 21.349 6.821
Sc 7.532 13.412 6.376
Pm 9.996 18.236 7.917
Pm 1.262 1.140 2.455
Ho 8.389 16.421 5.246
Ho 6.071 11.884 3.797
Ho 5.110 8.672 4.862
Ho 2.805 4.160 3.420
CELL_PARAMETERS angstrom
-1.102 -0.486 3.284
3.102 -1.263 -1.008
11.118 21.762 6.953


No. 2
! Pm3HoSc GGA-PBE relaxed; values from VASP
! - ΔH_f (0 K) (eV per atom) = 0.16
! - ΔE to the lowest computed polymorph (eV per atom) = 0.082
! - calculated volume (Å³/atom) = 32.7
&SYSTEM
  ibrav = 0, nat = 20, ntyp = 3
/
ATOMIC_SPECIES
Pm 145.00 Pm.upf
Ho 164.93 Ho.upf
Sc 44.96 Sc.upf
ATOMIC_POSITIONS angstrom
Pm 9.033 5.682 13.432
Pm 1.642 3.350 9.108
Pm 5.094 3.496 9.236
Pm -0.718 2.559 1.461
Pm 6.673 4.891 5.785
Pm 6.096 6.050 11.482
Pm 7.454 4.287 16.884
Pm 8.178 7.889 6.930
Pm 0.640 0.796 6.862
Pm 2.722 2.636 2.311
Pm -2.298 1.164 4.912
Pm 0.062 1.955 12.559
Ho 3.177 4.020 12.450
Ho 3.558 2.826 5.894
Ho 9.014 8.081 10.514
Ho -2.278 -1.235 7.830
Sc 6.308 3.837 13.809
Sc 7.820 5.338 8.860
Sc -1.085 1.508 9.484
Sc 0.427 3.009 4.535
CELL_PARAMETERS angstrom
-1.937 2.925 0.295
-4.166 -3.678 9.103
12.838 7.600 8.946


No. 3
! PmHo3Sc6 GGA-PBE relaxed; values from VASP
! - ΔH_f (0 K) (eV per atom) = 0.40
! - ΔE to the lowest computed polymorph (eV per atom) = 0.247
! - calculated volume (Å³/atom) = 27.9
&SYSTEM
  ibrav = 0, nat = 10, ntyp = 3
/
ATOMIC_SPECIES
Ho 164.93 Ho.upf
Sc 44.96 Sc.upf
Pm 145.00 Pm.upf
ATOMIC_POSITIONS angstrom
Ho 0.547 -8.349 -6.676
Ho -0.988 -5.182 -2.241
Ho -1.264 -9.796 -5.102
Sc -1.050 -10.310 -8.679
Sc -3.586 -8.647 -6.727
Sc -0.266 -8.326 -2.612
Sc 0.070 -12.406 -5.975
Sc 2.303 -9.979 -4.517
Sc -1.395 -6.183 -5.284
Pm 0.290 -12.948 -9.553
CELL_PARAMETERS angstrom
-3.014 -4.447 -7.553
4.034 -7.918 -2.635
-2.088 -6.061 -1.286


No. 4
! Pm3Ho7Sc GGA-PBE relaxed; values from VASP
! - ΔH_f (0 K) (eV per atom) = 0.18
! - calculated volume (Å³/atom) = 33.1
&SYSTEM
  ibrav = 0, nat = 11, ntyp = 3
/
ATOMIC_SPECIES
Pm 145.00 Pm.upf
Ho 164.93 Ho.upf
Sc 44.96 Sc.upf
ATOMIC_POSITIONS angstrom
Pm 0.135 7.137 5.523
Pm -2.646 5.151 4.854
Pm -1.237 7.083 2.324
Ho 0.768 1.494 1.568
Ho -0.945 2.330 6.066
Ho 2.133 1.547 4.752
Ho -2.316 2.276 2.869
Ho 3.535 3.470 2.233
Ho -0.650 -0.469 4.094
Ho -3.724 0.346 5.398
Sc 0.493 4.257 3.524
CELL_PARAMETERS angstrom
-5.163 6.519 2.103
-2.831 -3.883 5.087
5.588 3.992 1.344


No. 5
! Pm8HoSc2 GGA-PBE relaxed; values from VASP
! - ΔH_f (0 K) (eV per atom) = 0.16
! - ΔE to the lowest computed polymorph (eV per atom) = 0.034
! - calculated volume (Å³/atom) = 32.7
&SYSTEM
  ibrav = 0, nat = 11, ntyp = 3
/
ATOMIC_SPECIES
Pm 145.00 Pm.upf
Sc 44.96 Sc.upf
Ho 164.93 Ho.upf
ATOMIC_POSITIONS angstrom
Pm -0.300 2.507 3.764
Pm 2.079 4.762 3.678
Pm 1.164 -1.878 5.654
Pm 0.249 -0.699 2.420
Pm 2.079 1.561 5.811
Pm 1.164 5.941 0.444
Pm 2.628 1.556 2.335
Pm 0.249 2.503 0.287
Sc -1.727 4.848 1.762
Sc -1.727 -0.241 5.152
Ho 2.891 -0.272 -0.408
CELL_PARAMETERS angstrom
5.782 -0.543 -0.816
-1.727 9.004 -1.008
-1.727 -4.398 7.922


No. 6
! Pm9HoSc2 GGA-PBE relaxed; values from VASP
! - ΔH_f (0 K) (eV per atom) = 0.03
! - calculated volume (Å³/atom) = 32.3
&SYSTEM
  ibrav = 0, nat = 12, ntyp = 3
/
ATOMIC_SPECIES
Sc 44.96 Sc.upf
Pm 145.00 Pm.upf
Ho 164.93 Ho.upf
ATOMIC_POSITIONS angstrom
Sc 0.000 0.000 5.084
Sc 0.000 0.000 10.080
Pm 2.526 2.526 0.000
Pm 0.000 2.526 2.590
Pm 2.526 0.000 7.582
Pm 0.000 2.526 7.582
Pm 2.526 2.526 10.075
Pm 2.526 0.000 12.575
Pm 2.526 2.526 5.090
Pm 0.000 2.526 12.575
Pm 2.526 0.000 2.590
Ho 0.000 0.000 0.000
CELL_PARAMETERS angstrom
5.053 0.000 0.000
0.000 5.053 0.000
0.000 0.000 15.164


No. 7
! PmHo3Sc2 GGA-PBE relaxed; values from VASP
! - ΔH_f (0 K) (eV per atom) = 0.30
! - ΔE to the lowest computed polymorph (eV per atom) = 0.149
! - calculated volume (Å³/atom) = 31.4
&SYSTEM
  ibrav = 0, nat = 12, ntyp = 3
/
ATOMIC_SPECIES
Sc 44.96 Sc.upf
Ho 164.93 Ho.upf
Pm 145.00 Pm.upf
ATOMIC_POSITIONS angstrom
Sc 5.412 4.107 1.038
Sc 2.687 5.570 2.073
Sc 5.412 2.346 3.527
Sc 2.687 3.810 4.562
Ho 2.687 0.784 5.108
Ho 5.412 0.750 0.531
Ho 2.687 5.077 -0.961
Ho 5.412 2.839 6.562
Ho 2.687 7.166 5.069
Ho 5.412 7.133 0.492
Pm 2.687 2.139 1.513
Pm 5.412 5.777 4.087
CELL_PARAMETERS angstrom
5.450 0.000 0.000
0.000 8.077 -3.023
0.000 -0.161 8.623


No. 8
! Pm2Ho3Sc GGA-PBE relaxed; values from VASP
! - ΔH_f (0 K) (eV per atom) = 0.04
! - ΔE to the lowest computed polymorph (eV per atom) = 0.000
! - calculated volume (Å³/atom) = 30.9
&SYSTEM
  ibrav = 0, nat = 12, ntyp = 3
/
ATOMIC_SPECIES
Sc 44.96 Sc.upf
Ho 164.93 Ho.upf
Pm 145.00 Pm.upf
ATOMIC_POSITIONS angstrom
Sc -8.040 -2.254 -3.781
Sc -1.713 -0.006 0.357
Ho -5.690 -2.628 -1.205
Ho -2.252 -2.617 -1.921
Ho -4.063 0.368 -2.219
Ho -4.591 -2.258 -4.513
Ho -5.162 -0.002 1.089
Ho -7.501 0.356 -1.504
Pm -3.565 2.962 0.051
Pm -6.188 -5.222 -3.475
Pm -5.056 -4.922 -6.854
Pm -4.697 2.661 3.430
CELL_PARAMETERS angstrom
-0.766 3.321 -3.626
-4.945 -7.864 -6.158
-4.042 2.282 6.360


What did the fourth record say?
! Pm3Ho7Sc GGA-PBE relaxed; values from VASP
! - ΔH_f (0 K) (eV per atom) = 0.18
! - calculated volume (Å³/atom) = 33.1
&SYSTEM
  ibrav = 0, nat = 11, ntyp = 3
/
ATOMIC_SPECIES
Pm 145.00 Pm.upf
Ho 164.93 Ho.upf
Sc 44.96 Sc.upf
ATOMIC_POSITIONS angstrom
Pm 0.135 7.137 5.523
Pm -2.646 5.151 4.854
Pm -1.237 7.083 2.324
Ho 0.768 1.494 1.568
Ho -0.945 2.330 6.066
Ho 2.133 1.547 4.752
Ho -2.316 2.276 2.869
Ho 3.535 3.470 2.233
Ho -0.650 -0.469 4.094
Ho -3.724 0.346 5.398
Sc 0.493 4.257 3.524
CELL_PARAMETERS angstrom
-5.163 6.519 2.103
-2.831 -3.883 5.087
5.588 3.992 1.344


Number 4 is which compound?
Pm3Ho7Sc


What did the third record say?
! PmHo3Sc6 GGA-PBE relaxed; values from VASP
! - ΔH_f (0 K) (eV per atom) = 0.40
! - ΔE to the lowest computed polymorph (eV per atom) = 0.247
! - calculated volume (Å³/atom) = 27.9
&SYSTEM
  ibrav = 0, nat = 10, ntyp = 3
/
ATOMIC_SPECIES
Ho 164.93 Ho.upf
Sc 44.96 Sc.upf
Pm 145.00 Pm.upf
ATOMIC_POSITIONS angstrom
Ho 0.547 -8.349 -6.676
Ho -0.988 -5.182 -2.241
Ho -1.264 -9.796 -5.102
Sc -1.050 -10.310 -8.679
Sc -3.586 -8.647 -6.727
Sc -0.266 -8.326 -2.612
Sc 0.070 -12.406 -5.975
Sc 2.303 -9.979 -4.517
Sc -1.395 -6.183 -5.284
Pm 0.290 -12.948 -9.553
CELL_PARAMETERS angstrom
-3.014 -4.447 -7.553
4.034 -7.918 -2.635
-2.088 -6.061 -1.286